No. 1
The following is a DFT calculation (PBE-GGA) of a relaxed Sm2NpS4 crystal.

abc: 8.0287 11.2196 4.0108
angles: 90.00 90.00 90.00
Space group Cmmm (No. 65)
Symmetry-distinct sites (fractional):
Sm  0.2500  0.2500  0.0000 x4
Np  0.0000  0.0000  0.5000 x2
S  0.0000  0.2496  0.5000 x4
S  0.2323  0.0000  0.0000 x4

* E above lowest polymorph: 0.0 meV/atom
* formation energy from raw total energies: -1793 meV/atom
* E: -7.35 eV/atom

---

No. 2
The following is a DFT calculation (PBE-GGA) of a relaxed Na2LiNpS4 crystal.

abc: 6.5714 3.9729 6.9110
angles: 90.00 108.10 90.00
Space group P2/m (No. 10)
Symmetry-distinct sites (fractional):
Na  0.0000  0.0000  0.0000 x1
Na  0.5000  0.5000  0.0000 x1
Li  0.0000  0.5000  0.5000 x1
Np  0.5000  0.0000  0.5000 x1
S  0.2567  0.0000  0.7182 x2
S  0.2643  0.5000  0.2810 x2

* formation energy from raw total energies: -1224 meV/atom
* E: -5.47 eV/atom

---

No. 3
The following is a DFT calculation (PBE-GGA) of a relaxed Mg2FeRe crystal.

abc: 2.6415 4.3696 5.4111
angles: 90.00 90.00 90.00
Space group Pmmm (No. 47)
Symmetry-distinct sites (fractional):
Mg  0.0000  0.0000  0.2502 x2
Fe  0.5000  0.5000  0.0000 x1
Re  0.5000  0.5000  0.5000 x1

* E above lowest polymorph: 236.6 meV/atom
* E: -5.66 eV/atom

---

No. 4
The following is a DFT calculation (PBE-GGA) of a relaxed BaBTe2 crystal.

abc: 4.1019 4.1019 23.8016
angles: 90.00 90.00 120.00
Space group R-3m (No. 166, hexagonal axes)
Symmetry-distinct sites (fractional):
Ba  0.0000  0.0000  0.0000 x3
B  0.0000  0.0000  0.5000 x3
Te  0.0000  0.0000  0.2259 x6

* E above lowest polymorph: 463.7 meV/atom
* formation energy from raw total energies: 224 meV/atom
* E: -3.50 eV/atom

---

no.,Fermi-level density of states (states/eV per cell)
1,21.5
2,3.9
3,3.2
4,10.7